An optimized crystal structure of DyGa4Pd2Pt. Source: Alexandria, functional PBE.

Lattice parameters (Å, degrees): 4.308 4.308 9.016 76.18 76.18 60.00
Element x y z (fractional)
Ga: 0.397 0.397 0.810
Ga: 0.603 0.603 0.190
Ga: 0.869 0.869 0.393
Ga: 0.131 0.131 0.607
Pd: 0.755 0.755 0.735
Pd: 0.245 0.245 0.265
Dy: 0.000 0.000 0.000
Pt: 0.500 0.500 0.500

Calculated values
magnetic moment: 0.0 μB/cell
density: 10.1 g/cm³
raw total energy: -38.3 eV per formula unit
calculated formation energy: -0.65 eV/atom